No. 1
The following is a DFT calculation (PBE-GGA) of an optimized crystal structure of GaPd3Rh.

Cell lengths 4.835, 4.835, 4.835 Å; angles 90.00, 90.00, 90.00 degrees
Space group Pm-3m (No. 221)
Symmetry-distinct sites (fractional):
Ga 0.000 0.000 0.000
Pd 0.000 0.500 0.500
Rh 0.500 0.500 0.500

Output
Total magnetic moment: 1.3 μB per cell
Energy above the lowest structure with this stoichiometry: 338.8 meV/atom

No. 2
The following is a DFT calculation (PBE-GGA) of an optimized crystal structure of LaIn3.

Cell lengths 4.787, 4.787, 4.787 Å; angles 90.00, 90.00, 90.00 degrees
Space group Pm-3m (No. 221)
Symmetry-distinct sites (fractional):
La 0.000 0.000 0.000
In 0.000 0.500 0.500

Output
E: -3.77 eV/atom
Total magnetic moment: 0.0 μB per cell

No. 3
The following is a DFT calculation (PBE-GGA) of an optimized crystal structure of CaP2SBr.

Cell lengths 4.895, 4.895, 4.997 Å; angles 90.00, 90.00, 90.00 degrees
Space group P4/mmm (No. 123)
Symmetry-distinct sites (fractional):
Ca 0.000 0.000 0.000
P 0.000 0.500 0.500
S 0.500 0.500 0.000
Br 0.500 0.500 0.500

Output
Formation energy from raw total energies: 0.516 eV per atom
Total magnetic moment: 0.0 μB per cell
Energy above the lowest structure with this stoichiometry: 617.3 meV/atom